The following is a DFT calculation (GGA-PBE) of an optimized crystal structure of NdUTe2O.

The structure in POSCAR format:
```
NdUTe2O
1.0
4.1984 0.0000 0.0000
0.0000 4.1984 0.0000
0.0000 0.0000 16.0377
Nd U Te O
2 2 4 2
direct
0.2500 0.2500 0.1364 Nd
0.7500 0.7500 0.8636 Nd
0.2500 0.2500 0.5669 U
0.7500 0.7500 0.4331 U
0.2500 0.2500 0.3283 Te
0.2500 0.2500 0.9174 Te
0.7500 0.7500 0.0826 Te
0.7500 0.7500 0.6717 Te
0.2500 0.7500 0.5000 O
0.7500 0.2500 0.5000 O
```

Results
theoretical density	7677	kg/m3
SG	No. 129
E	-7.20	eV per atom